Entry from Alexandria via LeMat-Bulk: EuTlW2O8 after structural relaxation (PBE with a Hubbard U).

a b c (Å): 7.8318 7.8318 7.5148
angles (deg): 117.58 117.58 88.82
Positions (direct):
Eu: 0.2246 0.7754 0.7500
Eu: 0.7754 0.2246 0.2500
Tl: 0.2184 0.7816 0.2500
Tl: 0.7816 0.2184 0.7500
W: 0.3005 0.3111 0.7902
W: 0.3111 0.3005 0.2902
W: 0.6889 0.6995 0.7098
W: 0.6995 0.6889 0.2098
O: 0.0481 0.2352 0.1938
O: 0.0626 0.3626 0.6308
O: 0.2352 0.0481 0.6938
O: 0.2564 0.3743 0.0613
O: 0.3626 0.0626 0.1308
O: 0.3743 0.2564 0.5613
O: 0.3760 0.5917 0.5314
O: 0.4083 0.6240 0.9686
O: 0.5917 0.3760 0.0314
O: 0.6240 0.4083 0.4686
O: 0.6257 0.7436 0.4387
O: 0.6374 0.9374 0.8692
O: 0.7436 0.6257 0.9387
O: 0.7648 0.9519 0.3062
O: 0.9374 0.6374 0.3692
O: 0.9519 0.7648 0.8062

Total DFT energy (no corrections) (eV per formula unit): -91.544
Space-group type: C2/c, No. 15